# GGA+U Tl2GaCoO4, relaxed
# - Energy: -321.19 eV per cell
data_Tl2GaCoO4
_chemical_formula_sum 'Tl16 Ga8 Co8 O32'
_space_group_name_H-M_alt 'F d d d'
_space_group_IT_number 70
_cell_length_a 5.248
_cell_length_b 11.849
_cell_length_c 20.383
_cell_angle_alpha 90.00
_cell_angle_beta 90.00
_cell_angle_gamma 90.00
loop_
_space_group_symop_operation_xyz
'x,y,z'
'-x,-y,-z'
'-x+1/4,-y+1/4,z'
'x+1/4,y+1/4,-z'
'x,-y+1/4,-z+1/4'
'-x,y+1/4,z+1/4'
'-x+1/4,y,-z+1/4'
'x+1/4,-y,z+1/4'
'x,y+1/2,z+1/2'
'-x,-y+1/2,-z+1/2'
'-x+1/4,-y+3/4,z+1/2'
'x+1/4,y+3/4,-z+1/2'
'x,-y+3/4,-z+3/4'
'-x,y+3/4,z+3/4'
'-x+1/4,y+1/2,-z+3/4'
'x+1/4,-y+1/2,z+3/4'
'x+1/2,y,z+1/2'
'-x+1/2,-y,-z+1/2'
'-x+3/4,-y+1/4,z+1/2'
'x+3/4,y+1/4,-z+1/2'
'x+1/2,-y+1/4,-z+3/4'
'-x+1/2,y+1/4,z+3/4'
'-x+3/4,y,-z+3/4'
'x+3/4,-y,z+3/4'
'x+1/2,y+1/2,z'
'-x+1/2,-y+1/2,-z'
'-x+3/4,-y+3/4,z'
'x+3/4,y+3/4,-z'
'x+1/2,-y+3/4,-z+1/4'
'-x+1/2,y+3/4,z+1/4'
'-x+3/4,y+1/2,-z+1/4'
'x+3/4,-y+1/2,z+1/4'
loop_
_atom_site_label
_atom_site_type_symbol
_atom_site_fract_x
_atom_site_fract_y
_atom_site_fract_z
Tl1 Tl 0.125 0.125 0.310
Ga1 Ga 0.125 0.125 0.125
Co1 Co 0.125 0.125 0.625
O1 O 0.125 0.278 0.411